CeMgPdRu: optimized geometry, GGA-PBE.

Results
- E_form: -408 meV/atom

Geometry as POSCAR:
```
CeMgPdRu
1.0
4.738 0.000 0.000
2.369 4.103 0.000
2.369 1.368 3.868
Ru Pd Ce Mg
1 1 1 1
Cartesian
7.107 4.103 2.901
2.369 1.368 0.967
4.738 2.735 1.934
0.000 0.000 0.000
```



Ba2MnRePd: optimized geometry, GGA-PBE.

Results
- E_form: 1025 meV/atom

Geometry as POSCAR:
```
Ba2MnRePd
1.0
6.058 0.000 0.000
0.000 6.058 0.000
0.000 0.000 4.809
Mn Re Ba Pd
1 1 2 1
Cartesian
3.029 3.029 2.404
0.000 0.000 0.000
0.000 3.029 0.000
3.029 0.000 0.000
0.000 0.000 2.404
```



RbCd3Hg: optimized geometry, GGA-PBE.

Results
- E_form: 438 meV/atom
- Relative energy among the computed polymorphs: 0.534 eV/atom

Geometry as POSCAR:
```
RbCd3Hg
1.0
7.183 0.000 0.000
0.000 7.183 0.000
0.000 0.000 7.183
Hg Cd Rb
1 3 1
Cartesian
3.592 3.592 3.592
3.592 0.000 0.000
0.000 3.592 0.000
0.000 0.000 3.592
0.000 0.000 0.000
```